(1)
Density functional theory data (GGA+U) for a geometry-optimized PmVCd2O6 structure.

Output
**E**: -6.248 eV per atom

Unit cell a=5.868 b=5.868 c=5.868 alpha=57.57 beta=57.57 gamma=57.57
Element x y z (fractional)
Pm  0.000  0.000  0.000
V  0.497  0.497  0.497
Cd  0.277  0.277  0.277
Cd  0.765  0.765  0.765
O  0.143  0.684  0.384
O  0.255  0.595  0.820
O  0.384  0.143  0.684
O  0.595  0.820  0.255
O  0.684  0.384  0.143
O  0.820  0.255  0.595

***

(2)
Density functional theory data (GGA+U) for a geometry-optimized SrFe2Bi2O7 structure.

Output
**E**: -6.130 eV per atom

Unit cell a=9.754 b=9.754 c=9.754 alpha=159.23 beta=38.52 gamma=147.93
Element x y z (fractional)
Sr  0.000  0.000  0.000
Fe  0.446  0.044  0.401
Fe  0.643  0.044  0.599
Bi  0.208  0.513  0.696
Bi  0.817  0.513  0.304
O  0.112  0.698  0.414
O  0.212  0.933  0.279
O  0.284  0.698  0.586
O  0.594  0.718  0.876
O  0.653  0.933  0.721
O  0.661  0.161  0.500
O  0.841  0.718  0.124

***

Calculated magnetic moment in order - 0.0, 10.0 μB/cell